A plane-wave DFT calculation with meta-GGA SCAN was carried out for TlZnSb2 at its PBEsol-relaxed geometry.

extended XYZ file:
```
8
Lattice="6.2450 0.0000 0.0000 0.0000 6.2450 0.0000 -3.1225 -3.1225 6.4000" Properties=species:S:1:pos:R:3 pbc="T T T"
Sb 1.7884 4.6837 1.6000
Sb 4.4566 1.5612 1.6000
Sb -1.5612 -1.3341 4.8000
Sb 1.5612 1.3341 4.8000
Tl 0.0000 3.1225 3.2000
Tl 0.0000 0.0000 0.0000
Zn 3.1225 0.0000 3.2000
Zn 3.1225 3.1225 0.0000
```

Output
Excess energy over the best structure of this formula in the dataset (kcal/mol of atoms): 0.000